(1)
The following is a PBE-GGA calculation of a geometry-optimized Ti2BiTePb structure, from the Alexandria database.

Cell lengths 5.3083, 6.0915, 5.3083 Å; angles 90.00, 90.00, 90.00 degrees
Closest atoms and distances in Å follow each position.
Fractional positions:
Te: 0.0000 0.5000 0.0000  2 Bi 3.05
Pb: 0.5000 0.5000 0.5000  4 Te 3.75, 8 Ti 4.04
Bi: 0.0000 0.0000 0.0000  4 Ti 2.65
Ti: 0.0000 0.0000 0.5000  2 Bi 2.65
Ti: 0.5000 0.0000 0.0000  2 Bi 2.65

## Properties
Its space group is P4/mmm, No. 123. Its uncorrected formation energy is 0.9086 eV/atom.

(2)
The following is a PBE-GGA calculation of a geometry-optimized TlBiTe3Pb structure, from the Alexandria database.

Cell lengths 4.5299, 9.6606, 10.4069 Å; angles 96.89, 90.00, 90.00 degrees
Closest atoms and distances in Å follow each position.
Fractional positions:
Te: 0.7500 0.8687 0.1542  1 Pb 3.10, 2 Bi 3.22, 1 Tl 3.37
Te: 0.2500 0.5932 0.8474  3 Bi 3.13-3.14, 2 Tl 3.40
Pb: 0.7500 0.8587 0.4509  3 Te 3.02-3.10
Te: 0.7500 0.4068 0.1526  3 Bi 3.13-3.14, 2 Tl 3.40
Te: 0.7500 0.3479 0.5430  2 Pb 3.02, 1 Bi 3.17
Tl: 0.2500 0.1471 0.1713  5 Te 3.37-3.50
Bi: 0.7500 0.3690 0.8492  6 Te 3.13-3.22
Bi: 0.2500 0.6310 0.1508  6 Te 3.13-3.22
Te: 0.2500 0.1313 0.8458  1 Pb 3.10, 2 Bi 3.22, 1 Tl 3.37
Te: 0.2500 0.6521 0.4570  2 Pb 3.02, 1 Bi 3.17
Tl: 0.7500 0.8529 0.8287  5 Te 3.37-3.50
Pb: 0.2500 0.1413 0.5491  3 Te 3.02-3.10

## Properties
Its space group is P2_1/m, No. 11. Its uncorrected formation energy is -0.2618 eV/atom.

(3)
The following is a PBE-GGA calculation of a geometry-optimized Tm6BiTe3Pb2 structure, from the Alexandria database.

Cell lengths 4.3853, 8.7360, 9.7626 Å; angles 102.53, 102.98, 90.00 degrees
Closest atoms and distances in Å follow each position.
Fractional positions:
Pb: 0.1668 0.3329 0.3337  6 Tm 3.02-3.05
Tm: 0.3334 0.9068 0.6668  2 Pb 3.03, 1 Bi 3.09, 3 Te 3.13-3.15
Tm: 0.6695 0.5761 0.3390  3 Pb 3.04-3.05, 3 Te 3.14-3.16
Te: 0.8352 0.1665 0.6703  6 Tm 3.13-3.16
Pb: 0.8332 0.6671 0.6663  6 Tm 3.02-3.05
Bi: 0.5000 0.0000 0.0000  6 Tm 3.08-3.09
Te: 0.5000 0.5000 0.0000  6 Tm 3.11-3.14
Tm: 0.3305 0.4239 0.6610  3 Pb 3.04-3.05, 3 Te 3.14-3.16
Te: 0.1648 0.8335 0.3297  6 Tm 3.13-3.16
Tm: 0.0042 0.2500 0.0084  1 Pb 3.02, 2 Bi 3.08, 3 Te 3.11-3.14
Tm: 0.9958 0.7500 0.9916  1 Pb 3.02, 2 Bi 3.08, 3 Te 3.11-3.14
Tm: 0.6666 0.0932 0.3332  2 Pb 3.03, 1 Bi 3.09, 3 Te 3.13-3.15

## Properties
Its space group is C2/m, No. 12. Its uncorrected formation energy is -0.9147 eV/atom.

(4)
The following is a PBE-GGA calculation of a geometry-optimized ZnBiTePb2 structure, from the Alexandria database.

Cell lengths 5.4848, 5.3825, 5.4848 Å; angles 90.00, 90.00, 90.00 degrees
Closest atoms and distances in Å follow each position.
Fractional positions:
Pb: 0.0000 0.0000 0.5000  2 Zn 2.74
Bi: 0.0000 0.5000 0.0000  2 Zn 2.69
Zn: 0.0000 0.0000 0.0000  2 Bi 2.69, 4 Pb 2.74
Te: 0.5000 0.5000 0.5000  8 Pb 3.84, 4 Bi 3.88
Pb: 0.5000 0.0000 0.0000  2 Zn 2.74

## Properties
Its space group is P4/mmm, No. 123. Its uncorrected formation energy is 0.2836 eV/atom.

(5)
The following is a PBE-GGA calculation of a geometry-optimized ThBi5Pb2 structure, from the Alexandria database.

Cell lengths 6.9248, 6.9249, 6.9248 Å; angles 105.03, 105.03, 118.77 degrees
Closest atoms and distances in Å follow each position.
Fractional positions:
Bi: 0.7777 0.7779 0.4998  4 Pb 3.46, 2 Th 3.46, 4 Bi 3.46-3.53
Bi: 0.2781 0.7777 0.0000  2 Th 3.46, 4 Pb 3.46, 4 Bi 3.46-3.53
Bi: 0.2780 0.2781 0.5002  4 Pb 3.46, 2 Th 3.46, 4 Bi 3.46-3.53
Th: 0.7781 0.7779 0.0000  10 Bi 3.46-3.53
Pb: 0.2776 0.7779 0.4999  8 Bi 3.46, 2 Pb 3.53
Bi: 0.2778 0.2775 0.0000  8 Bi 3.46, 2 Th 3.52-3.53
Bi: 0.7779 0.2779 0.0000  2 Th 3.46, 4 Pb 3.46, 4 Bi 3.46-3.53
Pb: 0.7777 0.2780 0.5001  8 Bi 3.46, 2 Pb 3.53

## Properties
Its space group is I4/mmm, No. 139. The formation energy comes out at -149 meV per atom.

(6)
The following is a PBE-GGA calculation of a geometry-optimized ThBiPb2 structure, from the Alexandria database.

Cell lengths 5.1302, 4.8327, 4.8327 Å; angles 90.00, 90.00, 90.00 degrees
Closest atoms and distances in Å follow each position.
Fractional positions:
Bi: 0.5000 0.5000 0.5000  4 Th 3.42, 8 Pb 3.52
Th: 0.5000 0.0000 0.0000  4 Bi 3.42, 8 Pb 3.52
Pb: 0.0000 0.0000 0.5000  4 Pb 3.42, 4 Th 3.52, 4 Bi 3.52
Pb: 0.0000 0.5000 0.0000  4 Pb 3.42, 4 Th 3.52, 4 Bi 3.52

## Properties
The distance to the lowest polymorph of the same formula comes out at 0 meV per atom. Its space group is P4/mmm, No. 123. The formation energy comes out at -278 meV per atom.

(7)
The following is a PBE-GGA calculation of a geometry-optimized Th2BiPb structure, from the Alexandria database.

Cell lengths 4.5995, 4.5995, 7.9365 Å; angles 106.85, 90.00, 120.00 degrees
Closest atoms and distances in Å follow each position.
Fractional positions:
Pb: 0.5000 0.5000 0.0000  6 Th 3.22
Th: 0.2480 0.9960 0.2438  3 Pb 3.22, 3 Bi 3.27-3.28
Th: 0.7520 0.0040 0.7562  3 Pb 3.22, 3 Bi 3.27-3.28
Bi: 0.0000 0.5000 0.5000  6 Th 3.27-3.28

## Properties
The distance to the lowest polymorph of the same formula comes out at 0 meV per atom. Its space group is R-3m, No. 166. The formation energy comes out at -425 meV per atom.

(8)
The following is a PBE-GGA calculation of a geometry-optimized Th2BiPb structure, from the Alexandria database.

Cell lengths 5.5751, 5.5751, 5.5751 Å; angles 60.00, 60.00, 60.00 degrees
Closest atoms and distances in Å follow each position.
Fractional positions:
Pb: 0.5000 0.5000 0.5000  8 Th 3.41
Bi: 0.0000 0.0000 0.0000  8 Th 3.41
Th: 0.2500 0.2500 0.2500  4 Pb 3.41, 4 Bi 3.41
Th: 0.7500 0.7500 0.7500  4 Bi 3.41, 4 Pb 3.41

## Properties
The distance to the lowest polymorph of the same formula comes out at 97 meV per atom. Its space group is Fm-3m, No. 225. The formation energy comes out at -328 meV per atom.

(9)
The following is a PBE-GGA calculation of a geometry-optimized ThBiPb2 structure, from the Alexandria database.

Cell lengths 3.4794, 3.4794, 12.7161 Å; angles 82.14, 82.14, 60.00 degrees
Closest atoms and distances in Å follow each position.
Fractional positions:
Th: 0.0000 0.0000 0.0000  2 Pb 3.35, 6 Th 3.48
Bi: 0.5000 0.5000 0.5000  6 Bi 3.48, 6 Pb 3.55
Pb: 0.0889 0.0889 0.7334  1 Th 3.35, 6 Pb 3.48, 3 Bi 3.55
Pb: 0.9111 0.9111 0.2666  1 Th 3.35, 6 Pb 3.48, 3 Bi 3.55

## Properties
The distance to the lowest polymorph of the same formula comes out at 527 meV per atom. Its space group is R-3m, No. 166. The formation energy comes out at 249 meV per atom.

(10)
The following is a PBE-GGA calculation of a geometry-optimized Th2Bi4Pb structure, from the Alexandria database.

Cell lengths 4.9036, 6.9132, 6.9132 Å; angles 100.49, 90.00, 90.00 degrees
Closest atoms and distances in Å follow each position.
Fractional positions:
Bi: 0.5000 0.5000 0.0000  4 Th 3.32, 2 Pb 3.46, 4 Bi 3.63
Bi: 0.0000 0.7913 0.7913  4 Th 3.47-3.52, 2 Pb 3.56, 5 Bi 3.63-3.69
Bi: 0.0000 0.2087 0.2087  4 Th 3.47-3.52, 2 Pb 3.56, 5 Bi 3.63-3.69
Bi: 0.5000 0.0000 0.5000  4 Th 3.32, 2 Pb 3.46, 4 Bi 3.63
Pb: 0.5000 0.5000 0.5000  4 Th 3.38, 8 Bi 3.46-3.56
Th: 0.0000 0.2815 0.7185  8 Bi 3.32-3.52, 2 Pb 3.38
Th: 0.0000 0.7185 0.2815  8 Bi 3.32-3.52, 2 Pb 3.38

## Properties
Its space group is Cmmm, No. 65. The formation energy comes out at -344 meV per atom.

(11)
The following is a PBE-GGA calculation of a geometry-optimized Th2BiPb structure, from the Alexandria database.

Cell lengths 4.4575, 7.9767, 7.6913 Å; angles 90.00, 90.00, 90.00 degrees
Closest atoms and distances in Å follow each position.
Fractional positions:
Bi: 0.5000 0.0000 0.5000  6 Th 3.24-3.27
Th: 0.0000 0.2527 0.3336  3 Bi 3.24-3.27, 3 Pb 3.24-3.26
Th: 0.5000 0.7527 0.1664  3 Bi 3.24-3.27, 3 Pb 3.24-3.26
Pb: 0.5000 0.5000 0.5000  6 Th 3.24-3.26
Bi: 0.0000 0.5000 0.0000  6 Th 3.24-3.27
Th: 0.0000 0.7473 0.6664  3 Bi 3.24-3.27, 3 Pb 3.24-3.26
Th: 0.5000 0.2473 0.8336  3 Bi 3.24-3.27, 3 Pb 3.24-3.26
Pb: 0.0000 0.0000 0.0000  6 Th 3.24-3.26

## Properties
The distance to the lowest polymorph of the same formula comes out at 87 meV per atom. Its space group is Pnnm, No. 58. The formation energy comes out at -339 meV per atom.